Entry 1:
DFT (GGA-PBE) results for a relaxed Tc3BRu crystal.

Values from the calculation:
**Offset from the most stable computed form**: 0 meV per atom
**ΔH_f (0 K)**: -0.06 eV/atom
**Total moment**: 0.0 μB per formula unit
**Energy**: -9.4722 eV/atom

a b c (Å): 5.358 5.358 6.807
angles (deg): 55.28 55.28 64.80
Fractional positions:
Tc 0.958 0.458 0.815
Tc 0.458 0.958 0.815
Tc 0.542 0.042 0.185
Tc 0.444 0.444 0.362
Tc 0.042 0.542 0.185
Tc 0.556 0.556 0.638
B 0.753 0.753 0.997
B 0.247 0.247 0.003
Ru 0.054 0.054 0.641
Ru 0.946 0.946 0.359

---

Entry 2:
DFT (GGA-PBE) results for a relaxed Tc2B2Ru crystal.

Values from the calculation:
**Offset from the most stable computed form**: 55 meV per atom
**ΔH_f (0 K)**: -0.16 eV/atom
**Total moment**: 0.0 μB per formula unit
**Energy**: -8.8299 eV/atom

a b c (Å): 6.053 6.053 2.960
angles (deg): 90.00 90.00 90.00
Fractional positions:
Ru 0.000 0.000 0.000
Ru 0.500 0.500 0.000
B 0.370 0.870 0.000
B 0.870 0.630 0.000
B 0.630 0.130 0.000
B 0.130 0.370 0.000
Tc 0.160 0.660 0.500
Tc 0.660 0.840 0.500
Tc 0.840 0.340 0.500
Tc 0.340 0.160 0.500

---

Entry 3:
DFT (GGA-PBE) results for a relaxed TcB2Ru2 crystal.

Values from the calculation:
**ΔH_f (0 K)**: -0.06 eV/atom
**Total moment**: 0.0 μB per formula unit
**Energy**: -8.5176 eV/atom

a b c (Å): 6.246 6.246 2.773
angles (deg): 90.00 90.00 90.00
Fractional positions:
Ru 0.153 0.653 0.500
Ru 0.653 0.847 0.500
Ru 0.847 0.347 0.500
Ru 0.347 0.153 0.500
B 0.354 0.854 0.000
B 0.854 0.646 0.000
B 0.646 0.146 0.000
B 0.146 0.354 0.000
Tc 0.000 0.000 0.000
Tc 0.500 0.500 0.000

---

Entry 4:
DFT (GGA-PBE) results for a relaxed TcBRu crystal.

Values from the calculation:
**Offset from the most stable computed form**: 0 meV per atom
**ΔH_f (0 K)**: -0.16 eV/atom
**Total moment**: 0.0 μB per formula unit
**Energy**: -8.9320 eV/atom

a b c (Å): 4.462 4.462 4.486
angles (deg): 106.58 106.58 115.22
Fractional positions:
Tc 0.329 0.671 0.000
Tc 0.671 0.329 0.000
B 0.750 0.250 0.500
B 0.250 0.750 0.500
Ru 0.173 0.173 0.347
Ru 0.827 0.827 0.653

---

Entry 5:
DFT (GGA-PBE) results for a relaxed Tc3BRu crystal.

Values from the calculation:
**Offset from the most stable computed form**: 247 meV per atom
**ΔH_f (0 K)**: 0.18 eV/atom
**Total moment**: 0.0 μB per formula unit
**Energy**: -9.2256 eV/atom

a b c (Å): 4.069 4.069 4.069
angles (deg): 90.00 90.00 90.00
Fractional positions:
Ru 0.500 0.500 0.500
B 0.000 0.000 0.000
Tc 0.000 0.500 0.000
Tc 0.000 0.000 0.500
Tc 0.500 0.000 0.000

---

Entry 6:
DFT (GGA-PBE) results for a relaxed TcBRu crystal.

Values from the calculation:
**Offset from the most stable computed form**: 311 meV per atom
**ΔH_f (0 K)**: 0.15 eV/atom
**Total moment**: 0.0 μB per formula unit
**Energy**: -8.6206 eV/atom

a b c (Å): 2.795 5.638 9.449
angles (deg): 90.00 90.00 90.00
Fractional positions:
Ru 0.250 0.011 0.631
Ru 0.250 0.489 0.131
Ru 0.750 0.989 0.369
Ru 0.750 0.511 0.869
Tc 0.250 0.482 0.637
Tc 0.250 0.018 0.137
Tc 0.750 0.518 0.363
Tc 0.750 0.982 0.863
B 0.250 0.251 0.946
B 0.250 0.249 0.446
B 0.750 0.749 0.054
B 0.750 0.751 0.554

---

Entry 7:
DFT (GGA-PBE) results for a relaxed Tc3BRu crystal.

Values from the calculation:
**Offset from the most stable computed form**: 2627 meV per atom
**ΔH_f (0 K)**: 2.56 eV/atom
**Total moment**: 2.9 μB per formula unit
**Energy**: -6.8453 eV/atom

a b c (Å): 4.635 4.635 4.635
angles (deg): 90.00 90.00 90.00
Each line ends with the local moment (μB).
Fractional positions:
Ru 0.000 0.000 0.000  -0.09
B 0.500 0.500 0.500  -0.05
Tc 0.000 0.500 0.000  0.95
Tc 0.000 0.000 0.500  1.06
Tc 0.500 0.000 0.000  0.85

---

Entry 8:
DFT (GGA-PBE) results for a relaxed TlTc2BRu crystal.

Values from the calculation:
**ΔH_f (0 K)**: 3.31 eV/atom
**Total moment**: 6.8 μB per formula unit
**Energy**: -4.5006 eV/atom

a b c (Å): 5.102 4.987 5.102
angles (deg): 90.00 90.00 90.00
Each line ends with the local moment (μB).
Fractional positions:
Ru 0.000 0.500 0.000  1.26
Tl 0.000 0.000 0.000  -0.05
B 0.500 0.500 0.500  -0.16
Tc 0.000 0.000 0.500  3.04
Tc 0.500 0.000 0.000  2.40

---

Entry 9:
DFT (GGA-PBE) results for a relaxed ZrTc2BRu crystal.

Values from the calculation:
**ΔH_f (0 K)**: -0.23 eV/atom
**Total moment**: 0.0 μB per formula unit
**Energy**: -9.2781 eV/atom

a b c (Å): 4.184 4.184 4.161
angles (deg): 90.00 90.00 90.00
Fractional positions:
Ru 0.000 0.000 0.500
B 0.000 0.000 0.000
Tc 0.000 0.500 0.000
Tc 0.500 0.000 0.000
Zr 0.500 0.500 0.500

---

Entry 10:
DFT (GGA-PBE) results for a relaxed ZrTcBRu2 crystal.

Values from the calculation:
**ΔH_f (0 K)**: -0.34 eV/atom
**Total moment**: 0.0 μB per formula unit
**Energy**: -9.1663 eV/atom

a b c (Å): 4.144 4.144 4.180
angles (deg): 90.00 90.00 90.00
Fractional positions:
Ru 0.000 0.500 0.000
Ru 0.500 0.000 0.000
B 0.000 0.000 0.000
Tc 0.000 0.000 0.500
Zr 0.500 0.500 0.500

---

Entry 11:
DFT (GGA-PBE) results for a relaxed B3TeRu crystal.

Values from the calculation:
**Offset from the most stable computed form**: 1348 meV per atom
**Total moment**: 1.7 μB per formula unit
**Energy**: -3.8301 eV/atom

a b c (Å): 4.348 4.348 4.348
angles (deg): 90.00 90.00 90.00
Each line ends with the local moment (μB).
Fractional positions:
Ru 0.500 0.500 0.500  1.82
B 0.000 0.500 0.000  -0.04
B 0.000 0.000 0.500  -0.04
B 0.500 0.000 0.000  -0.03
Te 0.000 0.000 0.000  0.00

---

Entry 12:
DFT (GGA-PBE) results for a relaxed BTeRu3 crystal.

Values from the calculation:
**Offset from the most stable computed form**: 0 meV per atom
**Total moment**: 0.0 μB per formula unit
**Energy**: -7.3000 eV/atom

a b c (Å): 4.167 4.167 4.167
angles (deg): 90.00 90.00 90.00
Fractional positions:
Ru 0.000 0.500 0.000
Ru 0.000 0.000 0.500
Ru 0.500 0.000 0.000
B 0.000 0.000 0.000
Te 0.500 0.500 0.500